Entry 1:
{
  "formula": "ScSi2Cl",
  "functional": "PBE-GGA",
  "state": "optimized geometry",
  "cell": [[3.5782, 0.0000, 0.0000], [0.0000, 3.5782, 0.0000], [0.0000, 0.0000, 5.5214]],
  "species": ["Sc", "Si", "Si", "Cl"],
  "frac_coords": [[0.0000, 0.0000, 0.0000], [0.0000, 0.5000, 0.5000], [0.5000, 0.0000, 0.5000], [0.5000, 0.5000, 0.0000]],
  "magmom_total_mub_per_fu": 0.00,
  "space_group": "P4/mmm, No. 123",
  "formation_energy_uncorrected_mev_per_atom": -376.1,
  "dft_energy_ev_per_atom": -5.132
}

---

Entry 2:
{
  "formula": "Sc2SiCl",
  "functional": "PBE-GGA",
  "state": "optimized geometry",
  "cell": [[4.0875, 0.0000, 0.0000], [-2.0437, 3.5399, 0.0000], [0.0000, 0.0000, 22.4227]],
  "species": ["Sc", "Sc", "Sc", "Sc", "Sc", "Sc", "Si", "Si", "Si", "Cl", "Cl", "Cl"],
  "frac_coords": [[0.0000, 0.0000, 0.1114], [0.0000, 0.0000, 0.8886], [0.3333, 0.6667, 0.5553], [0.3333, 0.6667, 0.7781], [0.6667, 0.3333, 0.2219], [0.6667, 0.3333, 0.4447], [0.0000, 0.0000, 0.5000], [0.3333, 0.6667, 0.1667], [0.6667, 0.3333, 0.8333], [0.0000, 0.0000, 0.0000], [0.3333, 0.6667, 0.6667], [0.6667, 0.3333, 0.3333]],
  "magmom_total_mub_per_fu": 0.00,
  "space_group": "R-3m, No. 166",
  "formation_energy_uncorrected_mev_per_atom": -951.3,
  "dft_energy_ev_per_atom": -5.934
}

---

Entry 3:
{
  "formula": "ScSi3Cl",
  "functional": "PBE-GGA",
  "state": "optimized geometry",
  "cell": [[4.6617, 0.0000, 0.0000], [0.0000, 4.6617, 0.0000], [0.0000, 0.0000, 4.6617]],
  "species": ["Sc", "Si", "Si", "Si", "Cl"],
  "frac_coords": [[0.0000, 0.0000, 0.0000], [0.0000, 0.5000, 0.5000], [0.5000, 0.0000, 0.5000], [0.5000, 0.5000, 0.0000], [0.5000, 0.5000, 0.5000]],
  "magmom_total_mub_per_fu": 0.00,
  "space_group": "Pm-3m, No. 221",
  "formation_energy_uncorrected_mev_per_atom": 740.4,
  "dft_energy_ev_per_atom": -4.149
}

---

Entry 4:
{
  "formula": "Sc2SiCl",
  "functional": "PBE-GGA",
  "state": "optimized geometry",
  "cell": [[3.0988, 0.0000, 0.0000], [0.0000, 3.6542, 0.0000], [0.0000, 0.0000, 7.3469]],
  "species": ["Sc", "Sc", "Si", "Cl"],
  "frac_coords": [[0.0000, 0.0000, 0.2058], [0.0000, 0.0000, 0.7942], [0.5000, 0.5000, 0.0000], [0.5000, 0.0000, 0.5000]],
  "magmom_total_mub_per_fu": 0.00,
  "space_group": "Pmmm, No. 47",
  "formation_energy_uncorrected_mev_per_atom": -926.6,
  "dft_energy_ev_per_atom": -5.910
}

---

Entry 5:
{
  "formula": "ScSi2Cl",
  "functional": "PBE-GGA",
  "state": "optimized geometry",
  "cell": [[3.5710, 0.0000, 0.0000], [0.0000, 3.5710, 0.0000], [0.0000, 0.0000, 11.3236]],
  "species": ["Sc", "Sc", "Si", "Si", "Si", "Si", "Cl", "Cl"],
  "frac_coords": [[0.0000, 0.0000, 0.0000], [0.5000, 0.5000, 0.5000], [0.0000, 0.5000, 0.2500], [0.0000, 0.5000, 0.7500], [0.5000, 0.0000, 0.2500], [0.5000, 0.0000, 0.7500], [0.0000, 0.0000, 0.5000], [0.5000, 0.5000, 0.0000]],
  "magmom_total_mub_per_fu": 0.00,
  "space_group": "I4/mmm, No. 139",
  "formation_energy_uncorrected_mev_per_atom": -357.2,
  "dft_energy_ev_per_atom": -5.113
}

---

Entry 6:
{
  "formula": "ScSiCl2",
  "functional": "PBE-GGA",
  "state": "optimized geometry",
  "cell": [[10.0976, 0.0000, 0.0000], [0.0000, 3.2890, 0.0000], [-1.3284, 0.0000, 6.6648]],
  "species": ["Sc", "Sc", "Si", "Si", "Cl", "Cl", "Cl", "Cl"],
  "frac_coords": [[0.0000, 0.0000, 0.0000], [0.5000, 0.5000, 0.0000], [0.2738, 0.0000, 0.9445], [0.7738, 0.5000, 0.9445], [0.1212, 0.5000, 0.2524], [0.4124, 0.0000, 0.6982], [0.6212, 0.0000, 0.2524], [0.9124, 0.5000, 0.6982]],
  "magmom_total_mub_per_fu": 0.00,
  "space_group": "Cm, No. 8",
  "formation_energy_uncorrected_mev_per_atom": -921.5,
  "dft_energy_ev_per_atom": -4.784
}

---

Entry 7:
{
  "formula": "ScSiCl2",
  "functional": "PBE-GGA",
  "state": "optimized geometry",
  "cell": [[3.0761, 0.0000, 0.0000], [0.0000, 3.0761, 0.0000], [0.0000, 0.0000, 11.4640]],
  "species": ["Sc", "Si", "Cl", "Cl"],
  "frac_coords": [[0.0000, 0.0000, 0.0000], [0.0000, 0.0000, 0.5000], [0.5000, 0.5000, 0.1348], [0.5000, 0.5000, 0.8652]],
  "magmom_total_mub_per_fu": 0.00,
  "space_group": "P4/mmm, No. 123",
  "formation_energy_uncorrected_mev_per_atom": -723.5,
  "dft_energy_ev_per_atom": -4.586
}

---

Entry 8:
{
  "formula": "ScSi2Cl",
  "functional": "PBE-GGA",
  "state": "optimized geometry",
  "cell": [[3.1904, 0.0000, 0.0000], [-1.5952, 2.7630, 0.0000], [0.0000, 0.0000, 24.8354]],
  "species": ["Sc", "Sc", "Sc", "Si", "Si", "Si", "Si", "Si", "Si", "Cl", "Cl", "Cl"],
  "frac_coords": [[0.0000, 0.0000, 0.0000], [0.3333, 0.6667, 0.6667], [0.6667, 0.3333, 0.3333], [0.0000, 0.0000, 0.2504], [0.0000, 0.0000, 0.7496], [0.3333, 0.6667, 0.4163], [0.3333, 0.6667, 0.9170], [0.6667, 0.3333, 0.0830], [0.6667, 0.3333, 0.5837], [0.0000, 0.0000, 0.5000], [0.3333, 0.6667, 0.1667], [0.6667, 0.3333, 0.8333]],
  "magmom_total_mub_per_fu": 0.00,
  "space_group": "R-3m, No. 166",
  "formation_energy_uncorrected_mev_per_atom": 141.7,
  "dft_energy_ev_per_atom": -4.614
}

---

Number 1: energy above the lowest structure with this stoichiometry 223 meV/atom. Number 2: energy above the lowest structure with this stoichiometry 57 meV/atom. Number 3: energy above the lowest structure with this stoichiometry 0 meV/atom. Number 4: energy above the lowest structure with this stoichiometry 81 meV/atom. Number 5: energy above the lowest structure with this stoichiometry 242 meV/atom. Number 6: energy above the lowest structure with this stoichiometry 27 meV/atom. Number 7: energy above the lowest structure with this stoichiometry 225 meV/atom. Number 8: energy above the lowest structure with this stoichiometry 741 meV/atom.